A plane-wave DFT calculation with PBE-GGA was carried out for Dy2TiIn after structural relaxation.

POSCAR file:
```
Dy2TiIn
1.0
7.4283 0.0000 0.0000
0.0000 7.4283 0.0000
0.0000 0.0000 7.4283
Dy Ti In
8 4 4
Cartesian
1.8571 1.8571 1.8571 Dy
1.8571 1.8571 5.5712 Dy
1.8571 5.5712 1.8571 Dy
1.8571 5.5712 5.5712 Dy
5.5712 1.8571 1.8571 Dy
5.5712 1.8571 5.5712 Dy
5.5712 5.5712 1.8571 Dy
5.5712 5.5712 5.5712 Dy
0.0000 0.0000 0.0000 Ti
0.0000 3.7141 3.7141 Ti
3.7141 0.0000 3.7141 Ti
3.7141 3.7141 0.0000 Ti
0.0000 0.0000 3.7141 In
0.0000 3.7141 0.0000 In
3.7141 0.0000 0.0000 In
3.7141 3.7141 3.7141 In
```

Summary:
- formation energy (meV/atom) = -93.4
- total DFT energy (no corrections) (eV per atom) = -5.05
- space-group type = Fm-3m (225)

---

A plane-wave DFT calculation with PBE-GGA was carried out for DyTmTiIn after structural relaxation.

POSCAR file:
```
DyTmTiIn
1.0
7.3861 0.0000 0.0000
0.0000 7.3861 0.0000
0.0000 0.0000 7.3861
Dy Tm Ti In
4 4 4 4
Cartesian
0.0000 0.0000 0.0000 Dy
0.0000 3.6930 3.6930 Dy
3.6930 0.0000 3.6930 Dy
3.6930 3.6930 0.0000 Dy
0.0000 0.0000 3.6930 Tm
0.0000 3.6930 0.0000 Tm
3.6930 0.0000 0.0000 Tm
3.6930 3.6930 3.6930 Tm
1.8465 1.8465 1.8465 Ti
1.8465 5.5396 5.5396 Ti
5.5396 1.8465 5.5396 Ti
5.5396 5.5396 1.8465 Ti
1.8465 1.8465 5.5396 In
1.8465 5.5396 1.8465 In
5.5396 1.8465 1.8465 In
5.5396 5.5396 5.5396 In
```

Summary:
- formation energy (meV/atom) = -92.8
- total DFT energy (no corrections) (eV per atom) = -5.02
- space-group type = F-43m (216)

---

A plane-wave DFT calculation with PBE-GGA was carried out for Dy2TlIn4 after structural relaxation.

POSCAR file:
```
Dy2TlIn4
1.0
9.0271 0.0000 0.0000
0.0000 9.0642 0.0000
-4.5015 0.0000 4.7470
Dy Tl In
4 2 8
Cartesian
2.2568 2.2661 0.0000 Dy
2.2568 6.7982 0.0000 Dy
6.7703 2.2661 0.0000 Dy
6.7703 6.7982 0.0000 Dy
0.0000 0.0000 0.0000 Tl
4.5136 4.5321 0.0000 Tl
-2.2508 0.0000 2.3735 In
-2.2508 4.5321 2.3735 In
0.0060 2.2661 2.3735 In
0.0060 6.7982 2.3735 In
2.2628 0.0000 2.3735 In
2.2628 4.5321 2.3735 In
4.5196 2.2661 2.3735 In
4.5196 6.7982 2.3735 In
```

Summary:
- formation energy (meV/atom) = -253.4
- total DFT energy (no corrections) (eV per atom) = -3.47
- space-group type = C2/m (12)